Entry 1:
! meta-GGA SCAN BaSi2Ir, single point on PBEsol structure; values from VASP
! **Uncorrected formation energy**: 1.41 kcal/mol of atoms
! **SG**: No. 44
! **Crystal system**: orthorhombic
! **ρ**: 6.5 g/cm³
&SYSTEM
  ibrav = 0, nat = 4, ntyp = 3
/
ATOMIC_SPECIES
Si 28.09 Si.upf
Ir 192.22 Ir.upf
Ba 137.33 Ba.upf
CELL_PARAMETERS angstrom
4.3023 0.0000 0.0000
2.1511 4.8178 0.0123
2.1511 0.7726 4.7554
ATOMIC_POSITIONS crystal
Si 0.6698 0.8302 0.8302
Si 0.9771 0.0229 0.0229
Ir 0.3582 0.1418 0.1418
Ba 0.4949 0.5051 0.5051


Entry 2:
! meta-GGA SCAN Ba2SiIr, single point on PBEsol structure; values from VASP
! **Uncorrected formation energy**: 10.06 kcal/mol of atoms
! **SG**: No. 166
! **Crystal system**: trigonal
! **ρ**: 6.4 g/cm³
&SYSTEM
  ibrav = 0, nat = 4, ntyp = 3
/
ATOMIC_SPECIES
Si 28.09 Si.upf
Ba 137.33 Ba.upf
Ir 192.22 Ir.upf
CELL_PARAMETERS angstrom
4.2201 0.0000 0.0000
2.1101 3.6547 0.0000
2.1101 1.2182 8.3804
ATOMIC_POSITIONS crystal
Si 0.0000 0.0000 0.0000
Ba 0.2384 0.2384 0.2847
Ba 0.7616 0.7616 0.7153
Ir 0.5000 0.5000 0.5000